LiScSi2O6: relaxed, PBEsol.

a b c (Å): 5.3315 8.9700 9.3833
angles (deg): 90.00 102.03 90.00
Closest atoms and distances in Å follow each position.
Fractional positions:
O 0.3025 0.3321 0.1290  1 Si 1.64
O 0.7557 0.4940 0.6267  1 Si 1.61
O 0.5128 0.7340 0.1092  2 Si 1.64
O 0.5885 0.2181 0.6027  2 Si 1.65
O 0.7923 0.4987 0.1196  1 Si 1.61
O 0.6975 0.6679 0.8710  1 Si 1.64
O 0.7077 0.9987 0.8804  1 Si 1.61
O 0.2443 0.5060 0.3733  1 Si 1.61
O 0.2557 0.0060 0.6267  1 Si 1.61
O 0.4115 0.7819 0.3973  2 Si 1.65
O 0.7443 0.9940 0.3733  1 Si 1.61
O 0.0885 0.2819 0.6027  2 Si 1.65
O 0.2267 0.1650 0.3709  1 Si 1.65
O 0.4872 0.2660 0.8908  2 Si 1.64
O 0.9115 0.7181 0.3973  2 Si 1.65
O 0.7733 0.8350 0.6291  1 Si 1.65
O 0.8025 0.1679 0.1290  1 Si 1.64
O 0.2077 0.5013 0.8804  1 Si 1.61
O 0.0127 0.7660 0.1092  2 Si 1.64
O 0.9872 0.2340 0.8908  2 Si 1.64
O 0.1975 0.8321 0.8710  1 Si 1.64
O 0.2923 0.0013 0.1196  1 Si 1.61
O 0.7267 0.3350 0.3709  1 Si 1.65
O 0.2733 0.6650 0.6291  1 Si 1.65
Sc 0.0167 0.3561 0.2512  6 O 1.99-2.22
Sc 0.9833 0.6439 0.7488  6 O 1.99-2.22
Sc 0.4833 0.8561 0.7488  6 O 1.99-2.22
Sc 0.5167 0.1439 0.2512  6 O 1.99-2.22
Si 0.7433 0.1633 0.9500  4 O 1.61-1.64
Si 0.7567 0.6633 0.0500  4 O 1.61-1.64
Si 0.2567 0.8367 0.0500  4 O 1.61-1.64
Si 0.2433 0.3367 0.9500  4 O 1.61-1.64
Si 0.7121 0.8361 0.4494  4 O 1.61-1.65
Si 0.2121 0.6639 0.4494  4 O 1.61-1.65
Si 0.2879 0.1639 0.5506  4 O 1.61-1.65
Si 0.7879 0.3361 0.5506  4 O 1.61-1.65
Li 0.5150 0.4996 0.2491  4 O 2.04-2.10
Li 0.0150 0.0004 0.2491  4 O 2.04-2.10
Li 0.9850 0.9996 0.7509  4 O 2.04-2.10
Li 0.4850 0.5004 0.7509  4 O 2.04-2.10

Output
Theoretical density ... 3.1 g/cm3
Raw total energy ... -8.11 eV per atom
ΔE_f (raw) ... -2954 meV per atom